VASP calculation (GGA-PBE) on crystalline Al2ReNi at its relaxed geometry.

abc: 4.1176 4.1176 3.1552
angles: 90.00 90.00 90.00
Last column: nearest neighbours and their distance in Å.
Fractional coordinates of all 4 atoms:
Al (0.0000, 0.5000, 0.0000)  4 Re 2.59, 4 Ni 2.59
Al (0.5000, 0.0000, 0.0000)  4 Re 2.59, 4 Ni 2.59
Re (0.0000, 0.0000, 0.5000)  8 Al 2.59
Ni (0.5000, 0.5000, 0.5000)  8 Al 2.59

Results
formation enthalpy at 0 K = -0.3722 eV per atom
SG = P4/mmm, No. 123
relative energy among the computed polymorphs = 0.00 eV per formula unit


VASP calculation (GGA-PBE) on crystalline PuTaRe at its relaxed geometry.

abc: 6.7701 6.4946 4.6986
angles: 72.43 66.14 41.43
Last column: nearest neighbours and their distance in Å.
Fractional coordinates of all 6 atoms:
Pu (0.1826, 0.8174, 0.1826)  1 Pu 2.62, 2 Re 2.73
Pu (0.8174, 0.1826, 0.8174)  1 Pu 2.62, 2 Re 2.73
Ta (0.2500, 0.2500, 0.2500)  4 Re 2.72, 2 Ta 3.03
Ta (0.7500, 0.7500, 0.7500)  4 Re 2.72, 2 Ta 3.03
Re (0.3691, 0.3691, 0.6309)  4 Ta 2.72, 2 Pu 2.73, 1 Re 3.01
Re (0.6309, 0.6309, 0.3691)  4 Ta 2.72, 2 Pu 2.73, 1 Re 3.01

Results
formation enthalpy at 0 K = 0.4129 eV per atom
SG = Fmmm, No. 69


VASP calculation (GGA-PBE) on crystalline NaZrCl4 at its relaxed geometry.

abc: 6.6076 6.6076 6.6076
angles: 112.82 112.82 102.95
Last column: nearest neighbours and their distance in Å.
Fractional coordinates of all 6 atoms:
Na (0.0000, 0.0000, 0.0000)  4 Cl 2.74
Zr (0.7500, 0.2500, 0.5000)  4 Cl 2.44
Cl (0.0658, 0.1270, 0.4763)  1 Zr 2.44
Cl (0.4106, 0.9342, 0.0612)  1 Zr 2.44
Cl (0.6506, 0.5894, 0.5237)  1 Zr 2.44
Cl (0.8730, 0.3494, 0.9388)  1 Zr 2.44

Results
SG = I-4, No. 82
relative energy among the computed polymorphs = 0.99 eV per formula unit
raw formation energy = -149.4 kJ/mol of atoms


VASP calculation (GGA-PBE) on crystalline TbTmTh2Sc at its relaxed geometry.

abc: 8.3381 3.4437 11.5429
angles: 90.00 109.94 90.00
Last column: nearest neighbours and their distance in Å.
Fractional coordinates of all 10 atoms:
Tb (0.2005, 0.2500, 0.0551)  4 Th 3.37-3.49, 4 Tb 3.44-3.59, 3 Tm 3.58-3.62
Tb (0.7995, 0.7500, 0.9449)  4 Th 3.37-3.49, 4 Tb 3.44-3.59, 3 Tm 3.58-3.62
Tm (0.0497, 0.7500, 0.2702)  3 Sc 3.40-3.41, 2 Tm 3.44, 3 Th 3.52-3.63, 3 Tb 3.58-3.62
Tm (0.9503, 0.2500, 0.7298)  3 Sc 3.40-3.41, 2 Tm 3.44, 3 Th 3.52-3.63, 3 Tb 3.58-3.62
Th (0.4129, 0.2500, 0.8539)  3 Tb 3.37-3.49, 6 Th 3.44-3.62, 1 Sc 3.45, 1 Tm 3.63
Th (0.4409, 0.2500, 0.3623)  3 Sc 3.38-3.42, 1 Tb 3.43, 6 Th 3.44-3.57, 2 Tm 3.52
Th (0.5591, 0.7500, 0.6377)  3 Sc 3.38-3.42, 1 Tb 3.43, 6 Th 3.44-3.57, 2 Tm 3.52
Th (0.5871, 0.7500, 0.1461)  3 Tb 3.37-3.49, 6 Th 3.44-3.62, 1 Sc 3.45, 1 Tm 3.63
Sc (0.1878, 0.2500, 0.5415)  4 Th 3.38-3.45, 3 Tm 3.40-3.41, 4 Sc 3.41-3.44
Sc (0.8122, 0.7500, 0.4585)  4 Th 3.38-3.45, 3 Tm 3.40-3.41, 4 Sc 3.41-3.44

Results
formation enthalpy at 0 K = 0.1512 eV per atom
SG = P2_1/m, No. 11


VASP calculation (GGA-PBE) on crystalline SrNiOs at its relaxed geometry.

abc: 4.0481 4.0481 4.7339
angles: 90.00 90.00 120.00
Last column: nearest neighbours and their distance in Å.
Fractional coordinates of all 3 atoms:
Sr (0.0000, 0.0000, 0.0000)  6 Os 3.33, 6 Ni 3.33
Ni (0.6667, 0.3333, 0.5000)  3 Os 2.34
Os (0.3333, 0.6667, 0.5000)  3 Ni 2.34

Results
formation enthalpy at 0 K = 0.4102 eV per atom
SG = P-6m2, No. 187
relative energy among the computed polymorphs = 0.00 eV per formula unit


VASP calculation (GGA-PBE) on crystalline LiHoTlAu at its relaxed geometry.

abc: 4.9698 4.9698 4.9698
angles: 60.00 60.00 60.00
Last column: nearest neighbours and their distance in Å.
Fractional coordinates of all 4 atoms:
Li (0.0000, 0.0000, 0.0000)  4 Tl 3.04, 4 Au 3.04
Ho (0.5000, 0.5000, 0.5000)  4 Tl 3.04, 4 Au 3.04
Tl (0.7500, 0.7500, 0.7500)  4 Li 3.04, 4 Ho 3.04
Au (0.2500, 0.2500, 0.2500)  4 Ho 3.04, 4 Li 3.04

Results
formation enthalpy at 0 K = -0.4895 eV per atom
SG = F-43m, No. 216


VASP calculation (GGA-PBE) on crystalline Co4SeCl at its relaxed geometry.

abc: 4.9661 4.9661 4.9661
angles: 60.00 60.00 60.00
Last column: nearest neighbours and their distance in Å.
Fractional coordinates of all 6 atoms:
Co (0.1249, 0.1249, 0.1249)  6 Co 2.48-2.49
Co (0.1249, 0.1249, 0.6254)  6 Co 2.48-2.49
Co (0.1249, 0.6254, 0.1249)  6 Co 2.48-2.49
Co (0.6254, 0.1249, 0.1249)  6 Co 2.48-2.49
Se (0.7500, 0.7500, 0.7500)  12 Co 2.91, 4 Cl 3.04
Cl (0.5000, 0.5000, 0.5000)  12 Co 2.91, 4 Se 3.04

Results
SG = F-43m, No. 216
raw formation energy = 61.9 kJ/mol of atoms


VASP calculation (GGA-PBE) on crystalline InSnC3 at its relaxed geometry.

abc: 4.3890 4.3890 4.3890
angles: 90.00 90.00 90.00
Last column: nearest neighbours and their distance in Å.
Fractional coordinates of all 5 atoms:
In (0.0000, 0.0000, 0.0000)  6 C 2.19
Sn (0.5000, 0.5000, 0.5000)  12 C 3.10
C (0.0000, 0.0000, 0.5000)  2 In 2.19
C (0.0000, 0.5000, 0.0000)  2 In 2.19
C (0.5000, 0.0000, 0.0000)  2 In 2.19

Results
formation enthalpy at 0 K = 2.9276 eV per atom
SG = Pm-3m, No. 221
relative energy among the computed polymorphs = 0.86 eV per formula unit


Calculated volume / Å³ per atom: 13.4, 20.8, 36.7, 31.2, 22.4, 21.7, 14.4, 16.9